i | First-principles (GGA-PBE) data for Pm4SmDy5 after structural relaxation, as listed in the Alexandria database.

Space-group type: C2/m, No. 12
Magnetization (μB per cell): 0.00

a b c (Å): 3.549 11.186 8.812
angles (deg): 90.09 101.63 90.02
Fractional coordinates of all 10 atoms:
Pm 0.654 0.250 0.310
Pm 0.969 0.251 0.940
Pm 0.346 0.750 0.690
Pm 0.031 0.749 0.060
Sm 0.500 0.000 0.000
Dy 0.173 0.550 0.347
Dy 0.173 0.947 0.349
Dy 0.827 0.053 0.651
Dy 0.500 0.500 0.000
Dy 0.827 0.450 0.653

---

ii | First-principles (GGA-PBE) data for Pm4SmDy5 after structural relaxation, as listed in the Alexandria database.

Space-group type: I4mm, No. 107
Magnetization (μB per cell): 0.00

a b c (Å): 6.003 8.097 8.097
angles (deg): 82.10 68.24 68.24
Fractional coordinates of all 10 atoms:
Pm 0.460 0.325 0.675
Pm 0.784 0.675 0.675
Pm 0.135 0.325 0.325
Pm 0.460 0.675 0.325
Sm 0.211 0.000 0.000
Dy 0.756 0.378 0.000
Dy 0.134 0.000 0.622
Dy 0.756 0.000 0.378
Dy 0.134 0.622 0.000
Dy 0.683 0.000 0.000

---

Stability, highest: i

---

i | First-principles (GGA-PBE) data for Pm4Sm3Dy4 after structural relaxation, as listed in the Alexandria database.

Space-group type: Amm2, No. 38
Magnetization (μB per cell): 0.00

a b c (Å): 5.739 6.698 10.699
angles (deg): 90.00 90.00 115.37
Fractional coordinates of all 11 atoms:
Pm 0.754 0.508 0.790
Pm 0.754 0.508 0.210
Pm 0.884 0.769 0.500
Pm 0.961 0.921 0.000
Sm 0.409 0.818 0.292
Sm 0.409 0.818 0.708
Sm 0.254 0.509 0.000
Dy 0.613 0.226 0.500
Dy 0.553 0.107 0.000
Dy 0.104 0.207 0.699
Dy 0.104 0.207 0.301

---

ii | First-principles (GGA-PBE) data for Pm4Sm3Dy4 after structural relaxation, as listed in the Alexandria database.

Space-group type: Immm, No. 71
Magnetization (μB per cell): 0.00

a b c (Å): 3.605 9.451 12.131
angles (deg): 112.93 98.54 90.00
Fractional coordinates of all 11 atoms:
Pm 0.645 0.467 0.290
Pm 0.355 0.177 0.710
Pm 0.355 0.533 0.710
Pm 0.645 0.823 0.290
Sm 0.892 0.892 0.783
Sm 0.108 0.108 0.217
Sm 0.000 0.500 0.000
Dy 0.741 0.241 0.482
Dy 0.259 0.759 0.518
Dy 0.500 0.818 0.000
Dy 0.500 0.182 0.000

---

Stability, highest: ii